i.
Here is an optimized crystal structure of Li3SbSe from Alexandria via LeMat-Bulk. Energies are from PBE-GGA.

Results
Space-group type: Pm-3m
N(E_F): 6.7 states/eV/f.u.
Volume: 26.426 Å³ per atom
Density: 2.78 g/cm³

The structure in POSCAR format:
```
Li3SbSe
1.0
5.093 0.000 0.000
0.000 5.093 0.000
0.000 0.000 5.093
Sb Se Li
1 1 3
Direct
0.000 0.000 0.000
0.500 0.500 0.500
0.000 0.500 0.000
0.000 0.000 0.500
0.500 0.000 0.000
```



ii.
Here is an optimized crystal structure of Li3SbSe from Alexandria via LeMat-Bulk. Energies are from PBE-GGA.

Results
Space-group type: Pm-3m
N(E_F): 4.5 states/eV/f.u.
Volume: 22.203 Å³ per atom
Density: 3.31 g/cm³

The structure in POSCAR format:
```
Li3SbSe
1.0
4.806 0.000 0.000
0.000 4.806 0.000
0.000 0.000 4.806
Sb Se Li
1 1 3
Direct
0.500 0.500 0.500
0.000 0.000 0.000
0.000 0.500 0.000
0.000 0.000 0.500
0.500 0.000 0.000
```



Energy comparison, zero being the most stable, in kJ/mol of atoms: i 41.4; ii 0.0.



i.
Here is an optimized crystal structure of Li2SbSe2 from Alexandria via LeMat-Bulk. Energies are from PBE-GGA.

Results
Space-group type: P4/mbm
N(E_F): 0.6 states/eV/f.u.
Volume: 21.383 Å³ per atom
Density: 4.56 g/cm³

The structure in POSCAR format:
```
Li2SbSe2
1.0
-7.621 0.333 0.279
0.148 -2.632 7.164
0.196 3.441 1.260
Sb Se Li
2 4 4
Direct
0.000 0.000 0.000
0.500 0.500 0.000
0.327 0.827 0.000
0.827 0.673 0.000
0.673 0.173 0.000
0.173 0.327 0.000
0.138 0.638 0.500
0.638 0.862 0.500
0.862 0.362 0.500
0.362 0.138 0.500
```



ii.
Here is an optimized crystal structure of Li2SbSe2 from Alexandria via LeMat-Bulk. Energies are from PBE-GGA.

Results
Space-group type: P-1
N(E_F): 0.6 states/eV/f.u.
Volume: 23.577 Å³ per atom
Density: 4.14 g/cm³

The structure in POSCAR format:
```
Li2SbSe2
1.0
-1.053 6.712 1.194
-2.220 -1.422 -6.492
-2.821 -2.520 5.717
Li Sb Se
4 2 4
Direct
0.509 0.244 0.967
0.239 0.478 0.478
0.491 0.756 0.033
0.761 0.522 0.522
0.112 0.873 0.234
0.888 0.127 0.766
0.824 0.155 0.141
0.472 0.317 0.637
0.528 0.683 0.363
0.176 0.845 0.859
```



Energy comparison, zero being the most stable, in kJ/mol of atoms: i 4.8; ii 0.0.